Below is a relaxed Ca3TlPb12 crystal, with properties calculated at the PBE level.

Cell and atoms, written as POSCAR:
```
Ca3TlPb12
1.0
4.944 0.000 0.000
0.000 4.944 0.000
0.000 0.000 20.020
Pb Ca Tl
12 3 1
direct
0.000 0.500 0.128
0.500 0.500 0.500
0.500 0.000 0.377
0.000 0.500 0.872
0.500 0.000 0.128
0.500 0.000 0.623
0.000 0.500 0.377
0.500 0.000 0.872
0.000 0.500 0.623
0.500 0.500 0.750
0.500 0.500 0.000
0.500 0.500 0.250
0.000 0.000 0.500
0.000 0.000 0.257
0.000 0.000 0.743
0.000 0.000 0.000
```

## Properties
N(E_F): 0.615 states/eV/atom
Calculated formation energy: -347 kJ/mol of formula units
Volume: 489.4 Å³/f.u.